one | Computed, not measured: a relaxed structure of PrNd6Tm2 at the GGA-PBE level of DFT.

Values from the calculation:
**Fermi-level density of states**: 13.85 states/eV/f.u.
**Theoretical density**: 7.17 g/cm3

a = 6.194 Å, b = 7.619 Å, c = 7.619 Å
α = 60.01°, β = 89.98°, γ = 89.98°
Last column: magnetic moment on the atom in μB.
Element x y z (fractional)
Pr 0.000 0.000 0.000  0.00
Nd 0.288 0.378 0.811  0.07
Nd 0.288 0.811 0.811  0.07
Nd 0.288 0.811 0.378  0.07
Nd 0.712 0.622 0.189  0.07
Nd 0.712 0.189 0.189  0.07
Nd 0.712 0.189 0.622  0.07
Tm 0.781 0.667 0.667  0.10
Tm 0.219 0.333 0.333  0.10

***

two | Computed, not measured: a relaxed structure of PrNd6Tm2 at the GGA-PBE level of DFT.

Values from the calculation:
**Fermi-level density of states**: 15.78 states/eV/f.u.
**Theoretical density**: 7.29 g/cm3

a = 10.169 Å, b = 10.169 Å, c = 3.675 Å
α = 94.17°, β = 94.17°, γ = 125.33°
Element x y z (fractional)
Pr 0.000 0.000 0.000
Nd 0.839 0.500 0.822
Nd 0.161 0.500 0.178
Nd 0.334 0.334 0.676
Nd 0.500 0.839 0.822
Nd 0.500 0.161 0.178
Nd 0.666 0.666 0.324
Tm 0.834 0.166 0.500
Tm 0.166 0.834 0.500

***

Pick the most stable structure from those above. Pick: two